1.
The following is a GGA-PBE calculation of a relaxed structure of Ca2GaAg2Pd5, from Alexandria.

Values from the calculation:
The value obtained for the total energy is -86.23 eV/cell. The calculation puts the formation energy from the elements at -42.6 kJ per mole of atoms. The size of the total moment is 0.00 μB per formula unit.

Unit cell a=9.8313 b=9.8313 c=3.9058 alpha=90.00 beta=90.00 gamma=90.00
Space group P4/mbm (No. 127)
Unique sites:
Ca: 0.1691 0.3309 0.0000 (multiplicity 4)
Ga: 0.0000 0.0000 0.0000 (multiplicity 2)
Ag: 0.1317 0.6317 0.0000 (multiplicity 4)
Pd: 0.0000 0.5000 0.5000 (multiplicity 2)
Pd: 0.0562 0.8096 0.5000 (multiplicity 8)

---

2.
The following is a GGA-PBE calculation of a relaxed structure of Ca2Ga4AgPd3, from Alexandria.

Values from the calculation:
The value obtained for the total energy is -40.67 eV/cell. The calculation puts the formation energy from the elements at -59.1 kJ per mole of atoms. The size of the total moment is 0.00 μB per formula unit.

Unit cell a=4.3961 b=4.3961 c=10.2667 alpha=90.00 beta=90.00 gamma=90.00
Space group P-4m2 (No. 115)
Unique sites:
Ca: 0.0000 0.5000 0.2484 (multiplicity 2)
Ga: 0.0000 0.0000 0.0000 (multiplicity 1)
Ga: 0.0000 0.5000 0.6324 (multiplicity 2)
Ga: 0.5000 0.5000 0.0000 (multiplicity 1)
Ag: 0.0000 0.0000 0.5000 (multiplicity 1)
Pd: 0.0000 0.5000 0.8732 (multiplicity 2)
Pd: 0.5000 0.5000 0.5000 (multiplicity 1)

---

3.
The following is a GGA-PBE calculation of a relaxed structure of CaGa4Ag2Pd, from Alexandria.

Values from the calculation:
The value obtained for the total energy is -81.97 eV/cell. The calculation puts the formation energy from the elements at -28.0 kJ per mole of atoms. The size of the total moment is 0.00 μB per formula unit.

Unit cell a=4.4133 b=4.4133 c=27.3519 alpha=90.00 beta=90.00 gamma=120.00
Space group R-3m (No. 166, hexagonal axes)
Unique sites:
Ca: 0.0000 0.0000 0.0000 (multiplicity 3)
Ga: 0.0000 0.0000 0.1320 (multiplicity 6)
Ga: 0.0000 0.0000 0.4001 (multiplicity 6)
Ag: 0.0000 0.0000 0.2415 (multiplicity 6)
Pd: 0.0000 0.0000 0.5000 (multiplicity 3)